No. 1
Sc2OsBr | Alexandria | PBE | relaxed; formation energy (no corrections) = -0.337 eV per atom; total energy = -26.9 eV/cell; polymorph energy (0 for the lowest one) = 413 meV/atom
1.0
3.352 0.000 0.000
0.000 4.354 0.000
0.000 0.000 5.568
Sc Os Br
2 1 1
Direct
0.000 0.000 0.000
0.500 0.500 0.409
0.500 0.500 0.967
0.000 0.000 0.503


No. 2
HgBF2 | Alexandria | PBE | relaxed; formation energy (no corrections) = -0.622 eV per atom; total energy = -26.4 eV/cell; polymorph energy (0 for the lowest one) = 316 meV/atom
1.0
0.000 3.970 3.970
3.970 0.000 3.970
3.970 3.970 0.000
Hg B F
2 2 4
Direct
0.125 0.125 0.125
0.875 0.875 0.875
0.375 0.375 0.375
0.625 0.625 0.625
0.000 0.500 0.500
0.500 0.000 0.500
0.500 0.500 0.000
0.500 0.500 0.500


No. 3
Ba5Na6 | Alexandria | PBE | relaxed; formation energy from the elements = 0.6 eV/f.u.; total energy = -16.9 eV/cell
1.0
5.727 -9.109 0.000
5.727 9.109 0.000
-3.905 0.000 5.435
Ba Na
5 6
Direct
0.000 0.000 0.000
0.148 0.852 0.500
0.288 0.712 0.000
0.712 0.288 0.000
0.852 0.148 0.500
0.178 0.446 0.312
0.311 0.311 0.811
0.446 0.178 0.312
0.554 0.822 0.688
0.689 0.689 0.189
0.822 0.554 0.688


No. 4
Ba6Sr12Li | Alexandria | PBE | relaxed; formation energy from the elements = 1.2 eV/f.u.; total energy = -32.4 eV/cell
1.0
7.238 4.179 6.008
-7.238 4.179 6.008
0.000 -8.358 6.008
Ba Sr Li
6 12 1
Direct
0.236 0.756 0.388
0.244 0.612 0.764
0.388 0.236 0.756
0.612 0.764 0.244
0.756 0.388 0.236
0.764 0.244 0.612
0.024 0.301 0.939
0.061 0.976 0.699
0.127 0.349 0.456
0.301 0.939 0.024
0.349 0.456 0.127
0.456 0.127 0.349
0.544 0.873 0.651
0.651 0.544 0.873
0.699 0.061 0.976
0.873 0.651 0.544
0.939 0.024 0.301
0.976 0.699 0.061
0.500 0.500 0.500


Question: Which value of total energy does entry 2 give?
Answer: -26.4 eV/cell